CdGa2Ru2 after structural relaxation, computed with PBE.

The calculation puts the energy above the lowest structure with this stoichiometry at 247 meV per atom. For the formation energy, the calculation gives 0.11 eV per atom.

The space group is I4/mmm (No. 139) and the conventional cell measures 3.827, 3.827 and 11.816 Å, with angles of 90.00, 90.00 and 90.00 degrees. The distinct sites, in fractional coordinates, are Cd at (0.000, 0.000, 0.000), Ga at (0.000, 0.500, 0.250) and Ru at (0.000, 0.000, 0.393).